# 1
A plane-wave DFT calculation with GGA-PBE was carried out for Ca3ErNp3N8 after structural relaxation. Values from VASP.

## Properties
ΔE_f (raw), eV per formula unit: -16.6
Space-group type: R-3m, No. 166
DOS(E_F), states/eV/f.u.: 12.8

The structure in Quantum ESPRESSO input format:
```
&SYSTEM
  ibrav = 0, nat = 15, ntyp = 4
/
ATOMIC_SPECIES
Ca 40.08 Ca.upf
Er 167.26 Er.upf
Np 237.00 Np.upf
N 14.01 N.upf
CELL_PARAMETERS angstrom
3.4449 1.9889 5.6816
-3.4449 1.9889 5.6816
0.0000 -3.9778 5.6816
ATOMIC_POSITIONS angstrom
Ca -1.7225 -0.9945 5.6816
Ca -1.7225 0.9945 11.3632
Ca 0.0000 1.9889 5.6816
Er 0.0000 0.0000 8.5224
Np -3.4449 0.0000 8.5224
Np -1.7225 0.9945 2.8408
Np 1.7225 0.9945 2.8408
N -1.7759 -1.0253 9.6217
N 0.0000 0.0000 4.1263
N 0.0000 -2.0507 7.4231
N -1.7759 1.0253 7.4231
N 1.7759 -1.0253 9.6217
N 0.0000 2.0507 9.6217
N 0.0000 0.0000 12.9185
N 1.7759 1.0253 7.4231
```


# 2
A plane-wave DFT calculation with GGA-PBE was carried out for Er2Al2Ni5Sn after structural relaxation. Values from VASP.

## Properties
E_form, eV per atom: -0.415
Space-group type: P4/mbm, No. 127
DOS(E_F), states/eV/f.u.: 6.4

The structure in Quantum ESPRESSO input format:
```
&SYSTEM
  ibrav = 0, nat = 20, ntyp = 4
/
ATOMIC_SPECIES
Er 167.26 Er.upf
Al 26.98 Al.upf
Ni 58.69 Ni.upf
Sn 118.71 Sn.upf
CELL_PARAMETERS angstrom
9.5367 0.0000 0.0000
0.0000 9.5367 0.0000
0.0000 0.0000 3.5093
ATOMIC_POSITIONS angstrom
Er 1.7412 3.0272 0.0000
Er 3.0272 7.7955 0.0000
Er 6.5096 1.7412 0.0000
Er 7.7955 6.5096 0.0000
Al 1.0749 5.8433 0.0000
Al 3.6934 1.0749 0.0000
Al 5.8433 8.4618 0.0000
Al 8.4618 3.6934 0.0000
Ni 0.0000 4.7684 1.7547
Ni 0.5725 7.4632 1.7547
Ni 2.0735 0.5725 1.7547
Ni 2.6948 5.3409 1.7547
Ni 4.1959 2.6948 1.7547
Ni 4.7684 0.0000 1.7547
Ni 5.3409 6.8419 1.7547
Ni 6.8419 4.1959 1.7547
Ni 7.4632 8.9642 1.7547
Ni 8.9642 2.0735 1.7547
Sn 0.0000 0.0000 0.0000
Sn 4.7684 4.7684 0.0000
```


# 3
A plane-wave DFT calculation with GGA-PBE was carried out for Sm3Pu2ThSe6 after structural relaxation. Values from VASP.

## Properties
ΔE_f (raw), eV per formula unit: -20.3
Space-group type: C2/m, No. 12
DOS(E_F), states/eV/f.u.: 19.8

The structure in Quantum ESPRESSO input format:
```
&SYSTEM
  ibrav = 0, nat = 12, ntyp = 4
/
ATOMIC_SPECIES
Sm 150.36 Sm.upf
Pu 244.00 Pu.upf
Th 232.04 Th.upf
Se 78.96 Se.upf
CELL_PARAMETERS angstrom
9.0910 -2.0738 0.0000
9.0910 2.0738 0.0000
-1.9590 0.0000 8.1429
ATOMIC_POSITIONS angstrom
Sm 0.0000 0.0000 0.0000
Sm 4.7638 0.0000 5.4269
Sm 11.4592 0.0000 2.7160
Pu 5.7397 0.0000 1.3601
Pu 10.4833 0.0000 6.7828
Th -0.9795 0.0000 4.0714
Se 2.8937 0.0000 0.6626
Se 1.9081 0.0000 4.7724
Se 8.6000 0.0000 2.0031
Se 7.6231 0.0000 6.1398
Se 14.3149 0.0000 3.3705
Se 13.3293 0.0000 7.4803
```


# 4
A plane-wave DFT calculation with GGA-PBE was carried out for ThTe2Br after structural relaxation. Values from VASP.

## Properties
ΔE_f (raw), eV per formula unit: -3.2
Space-group type: C2/m, No. 12
DOS(E_F), states/eV/f.u.: 2.7

The structure in Quantum ESPRESSO input format:
```
&SYSTEM
  ibrav = 0, nat = 4, ntyp = 3
/
ATOMIC_SPECIES
Th 232.04 Th.upf
Te 127.60 Te.upf
Br 79.90 Br.upf
CELL_PARAMETERS angstrom
3.9115 -2.2533 0.0000
3.9115 2.2533 0.0000
-2.2366 0.0000 9.3177
ATOMIC_POSITIONS angstrom
Th 0.0000 0.0000 0.0000
Te 2.6014 0.0000 1.7817
Te 2.9851 0.0000 7.5360
Br 2.7932 0.0000 4.6589
```


# 5
A plane-wave DFT calculation with GGA-PBE was carried out for Sr3Li8Cd3 after structural relaxation. Values from VASP.

## Properties
E_form, eV per atom: -0.113
Space-group type: Immm, No. 71
DOS(E_F), states/eV/f.u.: 6.3

The structure in Quantum ESPRESSO input format:
```
&SYSTEM
  ibrav = 0, nat = 14, ntyp = 3
/
ATOMIC_SPECIES
Sr 87.62 Sr.upf
Li 6.94 Li.upf
Cd 112.41 Cd.upf
CELL_PARAMETERS angstrom
-2.4879 5.3317 7.1160
2.4879 -5.3317 7.1160
2.4879 5.3317 -7.1160
ATOMIC_POSITIONS angstrom
Sr 0.0000 0.0000 0.0000
Sr 0.0000 0.0000 4.6502
Sr 0.0000 0.0000 9.5818
Li 2.4879 -1.6261 2.6272
Li 2.4879 -2.3454 5.5261
Li 2.4879 1.6261 2.6272
Li 0.0000 2.9863 1.5899
Li 2.4879 2.3454 5.5261
Li 0.0000 3.7056 4.4888
Li 0.0000 7.6771 1.5899
Li 0.0000 6.9579 4.4888
Cd 2.4879 2.7458 0.0000
Cd 0.0000 5.3317 0.0000
Cd 0.0000 2.5859 7.1160
```


# 6
A plane-wave DFT calculation with GGA-PBE was carried out for Zr2Co5Si4 after structural relaxation. Values from VASP.

## Properties
ΔE_f (raw), eV per formula unit: -6.9
Space-group type: Fmmm, No. 69
DOS(E_F), states/eV/f.u.: 7.9

The structure in Quantum ESPRESSO input format:
```
&SYSTEM
  ibrav = 0, nat = 11, ntyp = 3
/
ATOMIC_SPECIES
Zr 91.22 Zr.upf
Co 58.93 Co.upf
Si 28.09 Si.upf
CELL_PARAMETERS angstrom
0.0000 4.4074 6.6204
2.5624 0.0000 6.6204
2.5624 4.4074 0.0000
ATOMIC_POSITIONS angstrom
Zr 2.5624 4.4074 1.7704
Zr 2.5624 4.4074 11.4704
Co 1.2812 2.2037 0.0000
Co 1.2812 2.2037 3.3102
Co 1.2812 2.2037 6.6204
Co 2.5624 4.4074 6.6204
Co 3.8437 6.6111 9.9306
Si 2.5624 3.0908 4.8551
Si 2.5624 3.0908 8.3858
Si 2.5624 5.7240 4.8551
Si 2.5624 5.7240 8.3858
```


# 7
A plane-wave DFT calculation with GGA-PBE was carried out for Ac3PmY3 after structural relaxation. Values from VASP.

## Properties
E_form, eV per atom: 0.052
Space-group type: R-3, No. 148
DOS(E_F), states/eV/f.u.: 11.7

The structure in Quantum ESPRESSO input format:
```
&SYSTEM
  ibrav = 0, nat = 14, ntyp = 3
/
ATOMIC_SPECIES
Ac 227.00 Ac.upf
Pm 145.00 Pm.upf
Y 88.91 Y.upf
CELL_PARAMETERS angstrom
4.9777 2.8738 6.1603
-4.9777 2.8738 6.1603
0.0000 -5.7477 6.1603
ATOMIC_POSITIONS angstrom
Ac -1.4020 -1.7079 7.6898
Ac -2.1801 0.3602 10.7912
Ac -0.7781 2.0681 7.6897
Ac 0.7781 -2.0681 10.7912
Ac 2.1801 -0.3602 7.6897
Ac 1.4020 1.7079 10.7912
Pm 0.0000 0.0000 4.5088
Pm 0.0000 0.0000 13.9721
Y -4.3181 0.8623 7.6934
Y -2.9059 -3.3084 10.7875
Y 1.4122 -4.1708 7.6934
Y -1.4122 4.1708 10.7875
Y 2.9059 3.3084 7.6934
Y 4.3181 -0.8623 10.7875
```


# 8
A plane-wave DFT calculation with GGA-PBE was carried out for GaTeAs3 after structural relaxation. Values from VASP.

## Properties
E above lowest polymorph, eV per atom: 0.000
ΔE_f (raw), eV per formula unit: 3.2
Space-group type: Pm-3m, No. 221
DOS(E_F), states/eV/f.u.: 5.3

The structure in Quantum ESPRESSO input format:
```
&SYSTEM
  ibrav = 0, nat = 5, ntyp = 3
/
ATOMIC_SPECIES
Ga 69.72 Ga.upf
Te 127.60 Te.upf
As 74.92 As.upf
CELL_PARAMETERS angstrom
4.9397 0.0000 0.0000
0.0000 4.9397 0.0000
0.0000 0.0000 4.9397
ATOMIC_POSITIONS angstrom
Ga 0.0000 0.0000 0.0000
Te 2.4698 2.4698 2.4698
As 0.0000 0.0000 2.4698
As 0.0000 2.4698 0.0000
As 2.4698 0.0000 0.0000
```


# 9
A plane-wave DFT calculation with GGA-PBE was carried out for AlCo2As after structural relaxation. Values from VASP.

## Properties
E_form, eV per atom: -0.228
E above lowest polymorph, eV per atom: 0.022
Space-group type: P4/mmm, No. 123
DOS(E_F), states/eV/f.u.: 2.0

The structure in Quantum ESPRESSO input format:
```
&SYSTEM
  ibrav = 0, nat = 4, ntyp = 3
/
ATOMIC_SPECIES
Al 26.98 Al.upf
Co 58.93 Co.upf
As 74.92 As.upf
CELL_PARAMETERS angstrom
2.9455 0.0000 0.0000
0.0000 2.9455 0.0000
0.0000 0.0000 5.7430
ATOMIC_POSITIONS angstrom
Al 0.0000 0.0000 0.0000
Co 1.4727 1.4727 1.4387
Co 1.4727 1.4727 4.3043
As 0.0000 0.0000 2.8715
```


# 10
A plane-wave DFT calculation with GGA-PBE was carried out for Sm4Dy2Er after structural relaxation. Values from VASP.

## Properties
E_form, eV per atom: 0.129
E above lowest polymorph, eV per atom: 0.000
Space-group type: P2_1/m, No. 11
DOS(E_F), states/eV/f.u.: 11.0

The structure in Quantum ESPRESSO input format:
```
&SYSTEM
  ibrav = 0, nat = 14, ntyp = 3
/
ATOMIC_SPECIES
Sm 150.36 Sm.upf
Dy 162.50 Dy.upf
Er 167.26 Er.upf
CELL_PARAMETERS angstrom
6.1913 0.0000 0.0000
0.0000 6.6072 0.0000
-2.9112 0.0000 11.1933
ATOMIC_POSITIONS angstrom
Sm -0.8172 1.6518 4.0766
Sm -1.8331 1.6518 10.6299
Sm 1.5442 3.3651 2.3984
Sm 1.5442 6.5456 2.3984
Sm 1.7359 0.0616 8.7949
Sm 1.7359 3.2420 8.7949
Sm 5.1132 4.9554 0.5634
Sm 4.0973 4.9554 7.1168
Dy -0.9053 4.9554 10.3296
Dy 0.9546 4.9554 5.6585
Dy 2.3255 1.6518 5.5348
Dy 4.1854 1.6518 0.8637
Er -0.9980 1.6518 7.4252
Er 4.2781 4.9554 3.7682
```


# 11
A plane-wave DFT calculation with GGA-PBE was carried out for SrTcAu4 after structural relaxation. Values from VASP.

## Properties
E_form, eV per atom: 0.111
Space-group type: F-43m, No. 216
DOS(E_F), states/eV/f.u.: 3.9

The structure in Quantum ESPRESSO input format:
```
&SYSTEM
  ibrav = 0, nat = 6, ntyp = 3
/
ATOMIC_SPECIES
Sr 87.62 Sr.upf
Tc 98.00 Tc.upf
Au 196.97 Au.upf
CELL_PARAMETERS angstrom
0.0000 3.9803 3.9803
3.9803 0.0000 3.9803
3.9803 3.9803 0.0000
ATOMIC_POSITIONS angstrom
Sr 0.0000 0.0000 0.0000
Tc 5.9705 5.9705 5.9705
Au 2.9884 2.9884 2.9884
Au 4.9723 4.9723 2.9884
Au 4.9723 2.9884 4.9723
Au 2.9884 4.9723 4.9723
```


# 12
A plane-wave DFT calculation with GGA-PBE was carried out for Nb4SbS8 after structural relaxation. Values from VASP.

## Properties
E above lowest polymorph, eV per atom: 0.025
ΔE_f (raw), eV per formula unit: -10.7
Space-group type: R-3m, No. 166
DOS(E_F), states/eV/f.u.: 8.6

The structure in Quantum ESPRESSO input format:
```
&SYSTEM
  ibrav = 0, nat = 13, ntyp = 3
/
ATOMIC_SPECIES
Nb 92.91 Nb.upf
Sb 121.76 Sb.upf
S 32.06 S.upf
CELL_PARAMETERS angstrom
3.3620 1.9410 7.2417
-3.3620 1.9410 7.2417
0.0000 -3.8821 7.2417
ATOMIC_POSITIONS angstrom
Nb 0.0000 0.0000 0.0000
Nb -1.6810 -0.9705 7.2417
Nb -1.6810 0.9705 14.4833
Nb 0.0000 1.9410 7.2417
Sb 0.0000 0.0000 10.8625
S 0.0000 -1.9151 8.8419
S -1.6585 0.9575 8.8419
S 0.0000 0.0000 5.6785
S -1.6585 -0.9575 12.8831
S 1.6585 0.9575 8.8419
S 0.0000 0.0000 16.0465
S 1.6585 -0.9575 12.8831
S 0.0000 1.9151 12.8831
```


Q: DOS(E_F) of number 12 (Nb4SbS8)?
A: 8.6 states/eV/f.u.